1.
First-principles (GGA-PBE) data for an optimized crystal structure of ZrZnCu, as listed in the Alexandria database.

a = 3.0900 Å, b = 3.0900 Å, c = 6.3744 Å
α = 90.00°, β = 90.00°, γ = 120.00°
With the nearest neighbours (Å) after each atom.
Fractional positions:
Zr: 0.6667 0.3333 0.6750  3 Cu 2.83, 3 Zn 2.95, 6 Zr 3.09
Cu: 0.0000 0.0000 0.0192  3 Zn 2.55, 3 Zr 2.83
Zn: 0.3333 0.6667 0.3058  3 Cu 2.55

## Properties
DFT formation energy = 0.0832 eV per atom
SG = P3m1


2.
First-principles (GGA-PBE) data for an optimized crystal structure of Fe2MoIrRh, as listed in the Alexandria database.

a = 4.3124 Å, b = 4.6263 Å, c = 4.3124 Å
α = 90.00°, β = 90.00°, γ = 90.00°
With the nearest neighbours (Å) after each atom.
Fractional positions:
Fe: 0.0000 0.0000 0.5000  2 Rh 2.16
Fe: 0.5000 0.0000 0.0000  2 Rh 2.16
Mo: 0.0000 0.5000 0.0000  2 Rh 2.31
Rh: 0.0000 0.0000 0.0000  4 Fe 2.16, 2 Mo 2.31
Ir: 0.5000 0.5000 0.5000  4 Mo 3.05, 8 Fe 3.16

## Properties
DFT formation energy = 1.8783 eV per atom
SG = P4/mmm


3.
First-principles (GGA-PBE) data for an optimized crystal structure of CaNbCuO2, as listed in the Alexandria database.

a = 4.1881 Å, b = 4.6403 Å, c = 4.1881 Å
α = 90.00°, β = 90.00°, γ = 90.00°
With the nearest neighbours (Å) after each atom.
Fractional positions:
Ca: 0.0000 0.0000 0.0000  4 O 2.09, 2 Cu 2.32
Cu: 0.0000 0.5000 0.0000  2 Ca 2.32
O: 0.0000 0.0000 0.5000  2 Ca 2.09
O: 0.5000 0.0000 0.0000  2 Ca 2.09
Nb: 0.5000 0.5000 0.5000  4 Cu 2.96, 8 O 3.13

## Properties
Formation energy from raw total energies = 0.18 eV per atom
SG = P4/mmm


These records have DFT total energy values of -13.67 -34.58 -25.20 eV per formula unit, in the order they appear.